Density functional theory data (PBEsol) for a relaxed structure of Be2SnAu2.

Results
The calculation puts the total energy at -20.64 eV/f.u.

Geometry as CIF:
```
data_Be2SnAu2
_space_group_name_H-M_alt 'P 1'
_space_group_IT_number 1
_space_group_name_Hall 'P 1'
_cell_length_a 3.568
_cell_length_b 3.568
_cell_length_c 6.678
_cell_angle_alpha 105.49
_cell_angle_beta 105.49
_cell_angle_gamma 90.00
loop_
_atom_site_label
_atom_site_type_symbol
_atom_site_fract_x
_atom_site_fract_y
_atom_site_fract_z
Sn1 Sn 0.000 0.000 0.000
Be1 Be 0.750 0.250 0.500
Be2 Be 0.250 0.750 0.500
Au1 Au 0.374 0.374 0.748
Au2 Au 0.626 0.626 0.252
```